Material: NdGa2Ag6
Method: DFT, PBE
State: optimized geometry

Unit cell a=3.288 b=8.041 c=8.041 alpha=63.84 beta=78.12 gamma=78.12
Fractional positions:
Nd1 0.000 0.000 0.000
Ga1 0.151 0.356 0.356
Ga2 0.849 0.644 0.644
Ag1 0.320 0.014 0.348
Ag2 0.680 0.986 0.652
Ag3 0.680 0.652 0.986
Ag4 0.500 0.336 0.664
Ag5 0.500 0.664 0.336
Ag6 0.320 0.348 0.014

## Properties
Space group: C2/m (12)
Distance to the lowest polymorph of the same formula: 0.2023 eV/atom
ΔE_f: 0 kJ per mole of atoms
DOS at the Fermi energy: 0.29 states/eV per atom